No. 1
VASP calculation (PBE) on a relaxed structure of DyHo2NbN4.

Unit cell a=5.813 b=3.347 c=5.817 alpha=90.00 beta=109.13 gamma=90.00
Fractional coordinates of all 8 atoms:
Dy 0.000 0.000 0.000
Ho 0.500 0.000 0.500
Ho 0.500 0.500 0.000
Nb 0.000 0.500 0.500
N 0.236 0.000 0.735
N 0.240 0.500 0.262
N 0.760 0.500 0.738
N 0.764 0.000 0.265

Summary:
* size of the total moment: 0.00 μB/cell
* ρ: 9.96 g/cm³
* ΔE_f (raw): -12.271 eV per formula unit

No. 2
VASP calculation (PBE) on a relaxed structure of HfC2Cl2.

Unit cell a=10.583 b=10.583 c=10.583 alpha=164.42 beta=164.42 gamma=22.11
Fractional coordinates of all 5 atoms:
Hf 0.000 0.000 0.000
C 0.250 0.750 0.500
C 0.750 0.250 0.500
Cl 0.420 0.420 0.000
Cl 0.580 0.580 0.000

Summary:
* size of the total moment: 0.00 μB/cell
* ρ: 5.31 g/cm³
* ΔE_f (raw): 5.632 eV per formula unit

No. 3
VASP calculation (PBE) on a relaxed structure of TlTeH3.

Unit cell a=4.171 b=4.171 c=4.171 alpha=90.00 beta=90.00 gamma=90.00
Fractional coordinates of all 5 atoms:
Tl 0.000 0.000 0.000
Te 0.500 0.500 0.500
H 0.000 0.000 0.500
H 0.000 0.500 0.000
H 0.500 0.000 0.000

Summary:
* size of the total moment: 0.00 μB/cell
* ρ: 7.67 g/cm³

No. 4
VASP calculation (PBE) on a relaxed structure of TmMn4Mo.

Unit cell a=4.907 b=4.907 c=4.907 alpha=60.00 beta=60.00 gamma=60.00
Fractional coordinates of all 6 atoms:
Tm 0.000 0.000 0.000
Mn 0.126 0.625 0.625
Mn 0.625 0.126 0.625
Mn 0.625 0.625 0.126
Mn 0.625 0.625 0.625
Mo 0.250 0.250 0.250

Summary:
* size of the total moment: 3.69 μB/cell
* ρ: 9.63 g/cm³

No. 5
VASP calculation (PBE) on a relaxed structure of AgRhOF2.

Unit cell a=4.237 b=4.237 c=4.160 alpha=90.00 beta=90.00 gamma=90.00
Fractional coordinates of all 5 atoms:
Ag 0.000 0.000 0.000
Rh 0.500 0.500 0.500
O 0.000 0.000 0.500
F 0.000 0.500 0.000
F 0.500 0.000 0.000

Summary:
* size of the total moment: 2.68 μB/cell
* ρ: 5.89 g/cm³
* ΔE_f (raw): 0.340 eV per formula unit

No. 6
VASP calculation (PBE) on a relaxed structure of Tm2ScBi.

Unit cell a=4.058 b=4.058 c=6.652 alpha=90.00 beta=90.00 gamma=90.00
Fractional coordinates of all 4 atoms:
Tm 0.000 0.000 0.250
Tm 0.000 0.000 0.750
Sc 0.500 0.500 0.000
Bi 0.500 0.500 0.500

Summary:
* size of the total moment: 0.00 μB/cell
* ρ: 8.97 g/cm³

No. 7
VASP calculation (PBE) on a relaxed structure of Sr2HoPuSe4.

Unit cell a=7.344 b=4.236 c=7.473 alpha=90.00 beta=109.13 gamma=90.00
Fractional coordinates of all 8 atoms:
Sr 0.000 0.000 0.000
Sr 0.500 0.500 0.000
Ho 0.000 0.500 0.500
Pu 0.500 0.000 0.500
Se 0.238 0.000 0.730
Se 0.251 0.500 0.267
Se 0.749 0.500 0.733
Se 0.762 0.000 0.270

Summary:
* size of the total moment: 6.01 μB/cell
* ρ: 6.81 g/cm³
* ΔE_f (raw): -14.435 eV per formula unit

No. 8
VASP calculation (PBE) on a relaxed structure of W4S.

Unit cell a=4.386 b=4.386 c=4.386 alpha=90.00 beta=90.00 gamma=90.00
Fractional coordinates of all 5 atoms:
W 0.000 0.000 0.000
W 0.000 0.500 0.500
W 0.500 0.000 0.500
W 0.500 0.500 0.000
S 0.500 0.500 0.500

Summary:
* size of the total moment: 0.00 μB/cell
* ρ: 15.10 g/cm³
* ΔE_f (raw): 5.020 eV per formula unit

Number 1: V 106.93 Å³/f.u., raw total energy -8.67 eV/atom. Number 2: V 85.54 Å³/f.u., raw total energy -5.29 eV/atom. Number 3: V 72.54 Å³/f.u., raw total energy -2.25 eV/atom. Number 4: V 83.56 Å³/f.u., raw total energy -8.59 eV/atom. Number 5: V 74.70 Å³/f.u., raw total energy -3.71 eV/atom. Number 6: V 109.56 Å³/f.u., raw total energy -5.13 eV/atom. Number 7: V 219.61 Å³/f.u., raw total energy -6.33 eV/atom. Number 8: V 84.39 Å³/f.u., raw total energy -10.18 eV/atom.